Sr2Ga4PbAu3 | PBE | relaxed

Calculated density (g/cm³): 8.882
M_tot (μB/atom): 0.000
Energy (eV per atom): -3.41
Symmetry: P-4m2
E_form (eV/atom): -0.51

Cell lengths 4.544, 4.544, 11.339 Å; angles 90.00, 90.00, 90.00 degrees
Element x y z (fractional)
Au 0.500 0.000 0.877
Au 0.000 0.000 0.500
Au 0.000 0.500 0.123
Ga 0.000 0.500 0.349
Ga 0.000 0.000 0.000
Ga 0.500 0.000 0.651
Ga 0.500 0.500 0.000
Sr 0.000 0.500 0.760
Sr 0.500 0.000 0.240
Pb 0.500 0.500 0.500


NdCu9Ag2 | PBE | relaxed

Calculated density (g/cm³): 8.750
M_tot (μB/atom): 0.000
Energy (eV per atom): -4.02
Symmetry: R-3m
E_form (eV/atom): -0.07

Cell lengths 5.040, 5.040, 8.551 Å; angles 72.86, 72.86, 60.00 degrees
Element x y z (fractional)
Cu 0.500 0.500 0.500
Cu 0.082 0.587 0.744
Cu 0.587 0.082 0.744
Cu 0.918 0.413 0.256
Cu 0.413 0.918 0.256
Cu 0.413 0.413 0.256
Cu 0.587 0.587 0.744
Cu 0.333 0.333 0.000
Cu 0.667 0.667 0.000
Ag 0.855 0.855 0.435
Ag 0.145 0.145 0.565
Nd 0.000 0.000 0.000


LiAcCoSn | PBE | relaxed

Calculated density (g/cm³): 8.068
M_tot (μB/atom): 0.255
Energy (eV per atom): -4.47
Symmetry: F-43m
E_form (eV/atom): -0.19

Cell lengths 4.930, 4.930, 4.930 Å; angles 60.00, 60.00, 60.00 degrees
Each line ends with the local moment (μB).
Element x y z (fractional)
Co 0.750 0.750 0.750  0.97
Sn 0.000 0.000 0.000  0.04
Ac 0.500 0.500 0.500  0.00
Li 0.250 0.250 0.250  -0.01


CaPd4Pt | PBE | relaxed

Calculated density (g/cm³): 10.014
M_tot (μB/atom): 0.000
Energy (eV per atom): -5.04
Symmetry: Pmma
E_form (eV/atom): -0.24

Cell lengths 4.094, 6.813, 7.857 Å; angles 90.00, 90.00, 90.00 degrees
Element x y z (fractional)
Pt 0.000 0.252 0.750
Pt 0.000 0.748 0.250
Pd 0.500 0.698 0.463
Pd 0.500 0.302 0.963
Pd 0.000 0.000 0.500
Pd 0.500 0.698 0.037
Pd 0.000 0.000 0.000
Pd 0.500 0.966 0.750
Pd 0.500 0.302 0.537
Pd 0.500 0.034 0.250
Ca 0.000 0.347 0.250
Ca 0.000 0.653 0.750


Gd3Fe5N12 | PBE | relaxed

Calculated density (g/cm³): 6.769
ΔE_f (raw) (meV/atom): -197
M_tot (μB/atom): 1.214
Energy (eV per atom): -9.42
Symmetry: Ia-3d

Cell lengths 10.542, 10.542, 10.542 Å; angles 109.47, 109.47, 109.47 degrees
Each line ends with the local moment (μB).
Element x y z (fractional)
Fe 0.000 0.500 0.500  1.64
Fe 0.875 0.250 0.625  -0.06
Fe 0.500 0.500 0.500  1.64
Fe 0.000 0.000 0.500  1.64
Fe 0.875 0.625 0.750  -0.06
Fe 0.750 0.625 0.375  -0.06
Fe 0.625 0.750 0.875  -0.06
Fe 0.375 0.250 0.125  -0.06
Fe 0.125 0.375 0.250  -0.06
Fe 0.500 0.000 0.000  1.64
Fe 0.000 0.000 0.000  1.64
Fe 0.375 0.125 0.750  -0.06
Fe 0.250 0.375 0.625  -0.06
Fe 0.750 0.125 0.875  -0.06
Fe 0.000 0.500 0.000  1.64
Fe 0.125 0.750 0.375  -0.06
Fe 0.500 0.500 0.000  1.64
Fe 0.250 0.875 0.125  -0.06
Fe 0.500 0.000 0.500  1.64
Fe 0.625 0.875 0.250  -0.06
N 0.687 0.197 0.586  0.01
N 0.313 0.803 0.414  0.01
N 0.990 0.601 0.187  0.01
N 0.490 0.803 0.889  0.01
N 0.111 0.414 0.101  0.01
N 0.414 0.111 0.601  0.01
N 0.813 0.899 0.010  0.01
N 0.914 0.101 0.611  0.01
N 0.086 0.187 0.197  0.01
N 0.803 0.490 0.389  0.01
N 0.414 0.303 0.313  0.01
N 0.899 0.086 0.889  0.01
N 0.086 0.899 0.389  0.01
N 0.303 0.414 0.813  0.01
N 0.611 0.601 0.914  0.01
N 0.313 0.510 0.399  0.01
N 0.111 0.697 0.510  0.01
N 0.399 0.389 0.586  0.01
N 0.303 0.889 0.990  0.01
N 0.510 0.197 0.111  0.01
N 0.197 0.687 0.086  0.01
N 0.611 0.010 0.197  0.01
N 0.101 0.187 0.490  0.01
N 0.889 0.303 0.490  0.01
N 0.601 0.990 0.687  0.01
N 0.399 0.010 0.313  0.01
N 0.914 0.813 0.803  0.01
N 0.601 0.611 0.414  0.01
N 0.687 0.490 0.601  0.01
N 0.586 0.889 0.399  0.01
N 0.510 0.313 0.899  0.01
N 0.010 0.399 0.813  0.01
N 0.490 0.687 0.101  0.01
N 0.187 0.101 0.990  0.01
N 0.697 0.586 0.187  0.01
N 0.990 0.389 0.303  0.01
N 0.899 0.813 0.510  0.01
N 0.389 0.399 0.086  0.01
N 0.197 0.510 0.611  0.01
N 0.813 0.914 0.303  0.01
N 0.889 0.586 0.899  0.01
N 0.101 0.914 0.111  0.01
N 0.803 0.313 0.914  0.01
N 0.187 0.086 0.697  0.01
N 0.389 0.990 0.803  0.01
N 0.010 0.611 0.697  0.01
N 0.586 0.697 0.687  0.01
N 0.697 0.111 0.010  0.01
Gd 0.375 0.750 0.625  6.91
Gd 0.375 0.625 0.250  6.91
Gd 0.750 0.875 0.625  6.91
Gd 0.625 0.375 0.750  6.91
Gd 0.250 0.125 0.375  6.91
Gd 0.125 0.250 0.875  6.91
Gd 0.625 0.250 0.375  6.91
Gd 0.875 0.750 0.125  6.91
Gd 0.125 0.875 0.750  6.91
Gd 0.875 0.125 0.250  6.91
Gd 0.250 0.625 0.875  6.91
Gd 0.750 0.375 0.125  6.91


CaMn3S | PBE | relaxed

Calculated density (g/cm³): 3.384
ΔE_f (raw) (meV/atom): 1872
M_tot (μB/atom): 2.228
Energy (eV per atom): -4.86
Symmetry: Pm-3m

Cell lengths 4.881, 4.881, 4.881 Å; angles 90.00, 90.00, 90.00 degrees
Each line ends with the local moment (μB).
Element x y z (fractional)
Mn 0.000 0.500 0.000  3.60
Mn 0.000 0.000 0.500  3.32
Mn 0.500 0.000 0.000  3.97
Ca 0.000 0.000 0.000  -0.24
S 0.500 0.500 0.500  0.03